(1)
# Ba6Y2Ru3PtO18 | Alexandria via LeMat-Bulk | PBE-GGA | optimized geometry
# calculated volume	455.1	Å³ per cell
# E_form (uncorrected)	-2156.7	meV per atom
# total moment	6.0	μB per formula unit
# Fermi-level density of states	5.77	states/eV per cell
# electronic total energy	-7.076	eV/atom
data_Ba6Y2Ru3PtO18
_cell_length_a 5.9639
_cell_length_b 5.9639
_cell_length_c 14.7740
_cell_angle_alpha 90.00
_cell_angle_beta 90.00
_cell_angle_gamma 120.00
_symmetry_space_group_name_H-M 'P 3 m 1'
_symmetry_Int_Tables_number 156
loop_
_symmetry_equiv_pos_as_xyz
'x,y,z'
'-y,x-y,z'
'-x+y,-x,z'
'-y,-x,z'
'-x+y,y,z'
'x,x-y,z'
loop_
_atom_site_label
_atom_site_type_symbol
_atom_site_fract_x
_atom_site_fract_y
_atom_site_fract_z
Ba1 Ba 0.0000 0.0000 0.0000
Ba2 Ba 0.0000 0.0000 0.3101
Ba3 Ba 0.3333 0.6667 0.5036
Ba4 Ba 0.3333 0.6667 0.8159
Ba5 Ba 0.6667 0.3333 0.1587
Ba6 Ba 0.6667 0.3333 0.6637
Y1 Y 0.6667 0.3333 0.4070
Y2 Y 0.6667 0.3333 0.9119
Ru1 Ru 0.0000 0.0000 0.5668
Ru2 Ru 0.3333 0.6667 0.0769
Ru3 Ru 0.3333 0.6667 0.2457
Pt1 Pt 0.0000 0.0000 0.7499
O1 O 0.0190 0.5095 0.0028
O2 O 0.0196 0.5098 0.3214
O3 O 0.1515 0.3030 0.6581
O4 O 0.1765 0.3529 0.1613
O5 O 0.3163 0.1582 0.4960
O6 O 0.3181 0.1591 0.8281

=====

(2)
# ErMgCuOs | Alexandria via LeMat-Bulk | PBE-GGA | optimized geometry
# calculated volume	284.1	Å³ per cell
# ΔH_f (0 K)	-0.0344	eV/atom
# total moment	0.0	μB per formula unit
# Fermi-level density of states	2.69	states/eV per cell
# electronic total energy	-5.405	eV/atom
data_ErMgCuOs
_cell_length_a 6.574
_cell_length_b 6.574
_cell_length_c 6.574
_cell_angle_alpha 90.00
_cell_angle_beta 90.00
_cell_angle_gamma 90.00
_symmetry_space_group_name_H-M 'F -4 3 m'
_symmetry_Int_Tables_number 216
_symmetry_space_group_name_Hall 'F -4 2 3'
loop_
_atom_site_label
_atom_site_type_symbol
_atom_site_fract_x
_atom_site_fract_y
_atom_site_fract_z
Er1 Er 0.000 0.000 0.000
Mg1 Mg 0.000 0.000 0.500
Cu1 Cu 0.250 0.250 0.250
Os1 Os 0.250 0.250 0.750

=====

(3)
# CeHfPaTi | Alexandria via LeMat-Bulk | PBE-GGA | optimized geometry
# calculated volume	379.5	Å³ per cell
# ΔH_f (0 K)	0.3327	eV/atom
# total moment	2.4	μB per formula unit
# Fermi-level density of states	42.69	states/eV per cell
# electronic total energy	-7.987	eV/atom
data_CeHfPaTi
_cell_length_a 7.240
_cell_length_b 7.240
_cell_length_c 7.240
_cell_angle_alpha 90.00
_cell_angle_beta 90.00
_cell_angle_gamma 90.00
_symmetry_space_group_name_H-M 'F -4 3 m'
_symmetry_Int_Tables_number 216
_symmetry_space_group_name_Hall 'F -4 2 3'
loop_
_atom_site_label
_atom_site_type_symbol
_atom_site_fract_x
_atom_site_fract_y
_atom_site_fract_z
Ce1 Ce 0.000 0.000 0.000
Hf1 Hf 0.250 0.250 0.750
Pa1 Pa 0.000 0.000 0.500
Ti1 Ti 0.250 0.250 0.250

=====

(4)
# Tb12Er3Zr | Alexandria via LeMat-Bulk | PBE-GGA | optimized geometry
# calculated volume	494.9	Å³ per cell
# ΔH_f (0 K)	0.0370	eV/atom
# total moment	0.0	μB per formula unit
# Fermi-level density of states	21.33	states/eV per cell
# electronic total energy	-4.826	eV/atom
data_Tb12Er3Zr
_cell_length_a 4.989
_cell_length_b 4.989
_cell_length_c 19.883
_cell_angle_alpha 90.00
_cell_angle_beta 90.00
_cell_angle_gamma 90.00
_symmetry_space_group_name_H-M 'P 4/m m m'
_symmetry_Int_Tables_number 123
_symmetry_space_group_name_Hall '-P 4 2'
loop_
_atom_site_label
_atom_site_type_symbol
_atom_site_fract_x
_atom_site_fract_y
_atom_site_fract_z
Tb1 Tb 0.000 0.000 0.000
Tb2 Tb 0.000 0.000 0.247
Tb3 Tb 0.000 0.000 0.500
Tb4 Tb 0.000 0.500 0.118
Tb5 Tb 0.000 0.500 0.373
Er1 Er 0.500 0.500 0.248
Er2 Er 0.500 0.500 0.500
Zr1 Zr 0.500 0.500 0.000

=====

(5)
# NbBi2Os | Alexandria via LeMat-Bulk | PBE-GGA | optimized geometry
# calculated volume	329.5	Å³ per cell
# ΔH_f (0 K)	0.7277	eV/atom
# energy above the most stable polymorph in this dataset	0.00	kcal/mol of atoms
# total moment	0.0	μB per formula unit
# Fermi-level density of states	14.66	states/eV per cell
# electronic total energy	-6.538	eV/atom
data_NbBi2Os
_cell_length_a 6.907
_cell_length_b 6.907
_cell_length_c 6.907
_cell_angle_alpha 90.00
_cell_angle_beta 90.00
_cell_angle_gamma 90.00
_symmetry_space_group_name_H-M 'F m -3 m'
_symmetry_Int_Tables_number 225
_symmetry_space_group_name_Hall '-F 4 2 3'
loop_
_atom_site_label
_atom_site_type_symbol
_atom_site_fract_x
_atom_site_fract_y
_atom_site_fract_z
Nb1 Nb 0.000 0.000 0.000
Bi1 Bi 0.250 0.250 0.250
Os1 Os 0.000 0.000 0.500

=====

(6)
# Ta2CrAs | Alexandria via LeMat-Bulk | PBE-GGA | optimized geometry
# calculated volume	254.0	Å³ per cell
# ΔH_f (0 K)	0.2668	eV/atom
# total moment	1.5	μB per formula unit
# Fermi-level density of states	16.01	states/eV per cell
# electronic total energy	-9.228	eV/atom
data_Ta2CrAs
_cell_length_a 6.333
_cell_length_b 6.333
_cell_length_c 6.333
_cell_angle_alpha 90.00
_cell_angle_beta 90.00
_cell_angle_gamma 90.00
_symmetry_space_group_name_H-M 'F -4 3 m'
_symmetry_Int_Tables_number 216
_symmetry_space_group_name_Hall 'F -4 2 3'
loop_
_atom_site_label
_atom_site_type_symbol
_atom_site_fract_x
_atom_site_fract_y
_atom_site_fract_z
Ta1 Ta 0.000 0.000 0.000
Ta2 Ta 0.250 0.250 0.250
Cr1 Cr 0.000 0.000 0.500
As1 As 0.250 0.250 0.750

=====

(7)
# AcHoH6Ir2 | Alexandria via LeMat-Bulk | PBE-GGA | optimized geometry
# calculated volume	467.0	Å³ per cell
# total moment	0.0	μB per formula unit
# Fermi-level density of states	6.15	states/eV per cell
# electronic total energy	-5.212	eV/atom
data_AcHoH6Ir2
_cell_length_a 7.845
_cell_length_b 9.756
_cell_length_c 6.598
_cell_angle_alpha 90.00
_cell_angle_beta 112.37
_cell_angle_gamma 90.00
_symmetry_space_group_name_H-M 'C 1 2/c 1'
_symmetry_Int_Tables_number 15
loop_
_symmetry_equiv_pos_as_xyz
'x,y,z'
'-x,-y,-z'
'-x,y,-z+1/2'
'x,-y,z+1/2'
'x+1/2,y+1/2,z'
'-x+1/2,-y+1/2,-z'
'-x+1/2,y+1/2,-z+1/2'
'x+1/2,-y+1/2,z+1/2'
loop_
_atom_site_label
_atom_site_type_symbol
_atom_site_fract_x
_atom_site_fract_y
_atom_site_fract_z
Ac1 Ac 0.000 0.146 0.250
Ho1 Ho 0.000 0.405 0.750
H1 H 0.076 0.390 0.122
H2 H 0.171 0.262 0.620
H3 H 0.201 0.030 0.019
Ir1 Ir 0.194 0.140 0.817

=====

(8)
# AcCeAl | Alexandria via LeMat-Bulk | PBE-GGA | optimized geometry
# calculated volume	89.5	Å³ per cell
# ΔH_f (0 K)	0.0001	eV/atom
# energy above the most stable polymorph in this dataset	1.59	kcal/mol of atoms
# total moment	0.8	μB per formula unit
# Fermi-level density of states	6.26	states/eV per cell
# electronic total energy	-4.595	eV/atom
data_AcCeAl
_cell_length_a 5.1716
_cell_length_b 5.1716
_cell_length_c 3.8622
_cell_angle_alpha 90.00
_cell_angle_beta 90.00
_cell_angle_gamma 120.00
_symmetry_space_group_name_H-M 'P 3 m 1'
_symmetry_Int_Tables_number 156
loop_
_symmetry_equiv_pos_as_xyz
'x,y,z'
'-y,x-y,z'
'-x+y,-x,z'
'-y,-x,z'
'-x+y,y,z'
'x,x-y,z'
loop_
_atom_site_label
_atom_site_type_symbol
_atom_site_fract_x
_atom_site_fract_y
_atom_site_fract_z
Ac1 Ac 0.0000 0.0000 0.0000
Ce1 Ce 0.3333 0.6667 0.6140
Al1 Al 0.6667 0.3333 0.3517